Entry one
TaI2Cl3: relaxed, PBE-GGA.

Summary:
- Total magnetization: 0.0 μB per formula unit

```
data_TaI2Cl3
_cell_length_a 6.8077
_cell_length_b 7.4457
_cell_length_c 10.1527
_cell_angle_alpha 108.91
_cell_angle_beta 92.47
_cell_angle_gamma 112.97
_space_group_name_H-M_alt 'P -1'
_space_group_IT_number 2
_space_group_name_Hall '-P 1'
loop_
_atom_site_label
_atom_site_fract_x
_atom_site_fract_y
_atom_site_fract_z
Ta1 0.0988 0.2049 0.2008
I1 0.0837 0.8142 0.5745
I2 0.4476 0.5671 0.3161
Cl1 0.1117 0.6485 0.8689
Cl2 0.2100 0.1524 0.9585
Cl3 0.2797 0.0077 0.2303
```

=====

Entry two
TaI2Cl3: relaxed, PBE-GGA.

Summary:
- Total magnetization: 0.0 μB per formula unit

```
data_TaI2Cl3
_cell_length_a 6.8215
_cell_length_b 7.3878
_cell_length_c 10.2797
_cell_angle_alpha 108.46
_cell_angle_beta 91.82
_cell_angle_gamma 112.43
_space_group_name_H-M_alt 'P -1'
_space_group_IT_number 2
_space_group_name_Hall '-P 1'
loop_
_atom_site_label
_atom_site_fract_x
_atom_site_fract_y
_atom_site_fract_z
Ta1 0.1013 0.2201 0.2247
I1 0.2440 0.1826 0.9538
I2 0.4430 0.5819 0.3337
Cl1 0.0630 0.8150 0.5883
Cl2 0.1103 0.6316 0.8425
Cl3 0.2870 0.0217 0.2472
```

=====

How far above the most stable structure does each one sit? In meV/atom: entry one 7; entry two 0.

=====

Entry one
TaI3Cl2: relaxed, PBE-GGA.

Summary:
- Total magnetization: 0.0 μB per formula unit

```
data_TaI3Cl2
_cell_length_a 6.8969
_cell_length_b 7.5484
_cell_length_c 10.6855
_cell_angle_alpha 107.95
_cell_angle_beta 93.39
_cell_angle_gamma 112.01
_space_group_name_H-M_alt 'P -1'
_space_group_IT_number 2
_space_group_name_Hall '-P 1'
loop_
_atom_site_label
_atom_site_fract_x
_atom_site_fract_y
_atom_site_fract_z
Ta1 0.1037 0.2177 0.2157
I1 0.0811 0.8132 0.5759
I2 0.2393 0.1745 0.9569
I3 0.4474 0.5698 0.3241
Cl1 0.1021 0.6335 0.8518
Cl2 0.2859 0.0232 0.2427
```

=====

Entry two
TaI3Cl2: relaxed, PBE-GGA.

Summary:
- Total magnetization: 0.0 μB per formula unit

```
data_TaI3Cl2
_cell_length_a 7.2117
_cell_length_b 7.7691
_cell_length_c 10.2787
_cell_angle_alpha 110.56
_cell_angle_beta 90.46
_cell_angle_gamma 115.73
_space_group_name_H-M_alt 'P -1'
_space_group_IT_number 2
_space_group_name_Hall '-P 1'
loop_
_atom_site_label
_atom_site_fract_x
_atom_site_fract_y
_atom_site_fract_z
Ta1 0.0981 0.2026 0.2041
I1 0.0781 0.8157 0.5719
I2 0.3039 0.9939 0.2357
I3 0.4411 0.5680 0.3171
Cl1 0.0937 0.6540 0.8584
Cl2 0.2002 0.1504 0.9582
```

=====

How far above the most stable structure does each one sit? In meV/atom: entry one 0; entry two 15.

=====

Entry one
NaIn2PdCl6: relaxed, PBE-GGA.

```
data_NaIn2PdCl6
_cell_length_a 7.0516
_cell_length_b 7.0516
_cell_length_c 10.6528
_cell_angle_alpha 90.00
_cell_angle_beta 90.00
_cell_angle_gamma 90.00
_space_group_name_H-M_alt 'I 4/m'
_space_group_IT_number 87
_space_group_name_Hall '-I 4'
loop_
_atom_site_label
_atom_site_fract_x
_atom_site_fract_y
_atom_site_fract_z
Na1 0.0000 0.0000 0.0000
In1 0.0000 0.5000 0.2500
Pd1 0.0000 0.0000 0.5000
Cl1 0.0000 0.0000 0.2572
Cl2 0.1716 0.2877 0.5000
```

=====

Entry two
NaIn2PdCl6: relaxed, PBE-GGA.

```
data_NaIn2PdCl6
_cell_length_a 10.1753
_cell_length_b 10.1753
_cell_length_c 10.1753
_cell_angle_alpha 90.00
_cell_angle_beta 90.00
_cell_angle_gamma 90.00
_space_group_name_H-M_alt 'F m -3 m'
_space_group_IT_number 225
_space_group_name_Hall '-F 4 2 3'
loop_
_atom_site_label
_atom_site_fract_x
_atom_site_fract_y
_atom_site_fract_z
Na1 0.0000 0.0000 0.0000
In1 0.2500 0.2500 0.2500
Pd1 0.0000 0.0000 0.5000
Cl1 0.0000 0.0000 0.2635
```

=====

How far above the most stable structure does each one sit? In meV/atom: entry one 0; entry two 12.

=====

Entry one
ZrIn2Cl6: relaxed, PBE-GGA.

Summary:
- Total magnetization: 0.0 μB per formula unit

```
data_ZrIn2Cl6
_cell_length_a 7.0772
_cell_length_b 7.0772
_cell_length_c 10.4676
_cell_angle_alpha 90.00
_cell_angle_beta 90.00
_cell_angle_gamma 90.00
_space_group_name_H-M_alt 'P 4/m n c'
_space_group_IT_number 128
_space_group_name_Hall '-P 4 2n'
loop_
_atom_site_label
_atom_site_fract_x
_atom_site_fract_y
_atom_site_fract_z
Zr1 0.0000 0.0000 0.0000
In1 0.0000 0.5000 0.2500
Cl1 0.0000 0.0000 0.2383
Cl2 0.1866 0.2972 0.0000
```

=====

Entry two
ZrIn2Cl6: relaxed, PBE-GGA.

Summary:
- Total magnetization: 0.0 μB per formula unit

```
data_ZrIn2Cl6
_cell_length_a 7.2108
_cell_length_b 7.2108
_cell_length_c 9.9258
_cell_angle_alpha 90.00
_cell_angle_beta 90.00
_cell_angle_gamma 90.00
_space_group_name_H-M_alt 'I 4/m m m'
_space_group_IT_number 139
_space_group_name_Hall '-I 4 2'
loop_
_atom_site_label
_atom_site_fract_x
_atom_site_fract_y
_atom_site_fract_z
Zr1 0.0000 0.0000 0.0000
In1 0.0000 0.5000 0.2500
Cl1 0.0000 0.0000 0.2492
Cl2 0.2431 0.2431 0.0000
```

=====

How far above the most stable structure does each one sit? In meV/atom: entry one 0; entry two 12.

=====

Entry one
K3IrCl6: relaxed, PBE-GGA.

Summary:
- Total magnetization: 0.0 μB per formula unit

```
data_K3IrCl6
_cell_length_a 10.4620
_cell_length_b 10.4620
_cell_length_c 10.4620
_cell_angle_alpha 90.00
_cell_angle_beta 90.00
_cell_angle_gamma 90.00
_space_group_name_H-M_alt 'F m -3 m'
_space_group_IT_number 225
_space_group_name_Hall '-F 4 2 3'
loop_
_atom_site_label
_atom_site_fract_x
_atom_site_fract_y
_atom_site_fract_z
K1 0.0000 0.0000 0.0000
K2 0.2500 0.2500 0.2500
Ir1 0.0000 0.0000 0.5000
Cl1 0.0000 0.0000 0.2755
```

=====

Entry two
K3IrCl6: relaxed, PBE-GGA.

Summary:
- Total magnetization: 0.0 μB per formula unit

```
data_K3IrCl6
_cell_length_a 7.5820
_cell_length_b 7.5820
_cell_length_c 17.2062
_cell_angle_alpha 90.00
_cell_angle_beta 90.00
_cell_angle_gamma 120.00
_space_group_name_H-M_alt 'R -3'
_space_group_IT_number 148
_space_group_name_Hall '-R 3'
loop_
_atom_site_label
_atom_site_fract_x
_atom_site_fract_y
_atom_site_fract_z
K1 0.0000 0.0000 0.0000
K2 0.0000 0.0000 0.2685
Ir1 0.0000 0.0000 0.5000
Cl1 0.0484 0.2780 0.5784
```

=====

How far above the most stable structure does each one sit? In meV/atom: entry one 36; entry two 0.

=====

Entry one
KNbCl3: relaxed, PBE-GGA.

Summary:
- Total magnetization: 3.0 μB per formula unit

```
data_KNbCl3
_cell_length_a 5.1432
_cell_length_b 5.1432
_cell_length_c 5.1432
_cell_angle_alpha 90.00
_cell_angle_beta 90.00
_cell_angle_gamma 90.00
_space_group_name_H-M_alt 'P m -3 m'
_space_group_IT_number 221
_space_group_name_Hall '-P 4 2 3'
loop_
_atom_site_label
_atom_site_fract_x
_atom_site_fract_y
_atom_site_fract_z
K1 0.0000 0.0000 0.0000
Nb1 0.5000 0.5000 0.5000
Cl1 0.0000 0.5000 0.5000
```

=====

Entry two
KNbCl3: relaxed, PBE-GGA.

Summary:
- Total magnetization: 3.0 μB per formula unit

```
data_KNbCl3
_cell_length_a 5.4190
_cell_length_b 5.4190
_cell_length_c 5.4190
_cell_angle_alpha 90.00
_cell_angle_beta 90.00
_cell_angle_gamma 90.00
_space_group_name_H-M_alt 'P m -3 m'
_space_group_IT_number 221
_space_group_name_Hall '-P 4 2 3'
loop_
_atom_site_label
_atom_site_fract_x
_atom_site_fract_y
_atom_site_fract_z
K1 0.0000 0.0000 0.0000
Nb1 0.5000 0.5000 0.5000
Cl1 0.0000 0.0000 0.5000
```

=====

How far above the most stable structure does each one sit? In meV/atom: entry one 0; entry two 1280.

=====

Entry one
KNbCl3: relaxed, PBE-GGA.

Summary:
- Total magnetization: 3.0 μB per formula unit

```
data_KNbCl3
_cell_length_a 4.7502
_cell_length_b 4.7502
_cell_length_c 6.9078
_cell_angle_alpha 90.00
_cell_angle_beta 90.00
_cell_angle_gamma 90.00
_space_group_name_H-M_alt 'P 4 m m'
_space_group_IT_number 99
_space_group_name_Hall 'P 4 -2'
loop_
_atom_site_label
_atom_site_fract_x
_atom_site_fract_y
_atom_site_fract_z
K1 0.0000 0.0000 0.0000
Nb1 0.5000 0.5000 0.3965
Cl1 0.0000 0.0000 0.5984
Cl2 0.0000 0.5000 0.2569
```

=====

Entry two
KNbCl3: relaxed, PBE-GGA.

Summary:
- Total magnetization: 3.0 μB per formula unit

```
data_KNbCl3
_cell_length_a 7.8644
_cell_length_b 7.8644
_cell_length_c 18.0682
_cell_angle_alpha 90.00
_cell_angle_beta 90.00
_cell_angle_gamma 120.00
_space_group_name_H-M_alt 'R -3 c'
_space_group_IT_number 167
_space_group_name_Hall '-R 3 2"c'
loop_
_atom_site_label
_atom_site_fract_x
_atom_site_fract_y
_atom_site_fract_z
K1 0.0000 0.0000 0.0000
Nb1 0.0000 0.0000 0.2500
Cl1 0.0000 0.3059 0.2500
```

=====

Entry three
KNbCl3: relaxed, PBE-GGA.

Summary:
- Total magnetization: 3.0 μB per formula unit

```
data_KNbCl3
_cell_length_a 5.1102
_cell_length_b 5.1102
_cell_length_c 5.2053
_cell_angle_alpha 90.00
_cell_angle_beta 90.00
_cell_angle_gamma 90.00
_space_group_name_H-M_alt 'P 4 m m'
_space_group_IT_number 99
_space_group_name_Hall 'P 4 -2'
loop_
_atom_site_label
_atom_site_fract_x
_atom_site_fract_y
_atom_site_fract_z
K1 0.0000 0.0000 0.0000
Nb1 0.5000 0.5000 0.5328
Cl1 0.0000 0.5000 0.5876
Cl2 0.5000 0.5000 0.0443
```

=====

Entry four
KNbCl3: relaxed, PBE-GGA.

Summary:
- Total magnetization: 3.0 μB per formula unit

```
data_KNbCl3
_cell_length_a 6.9660
_cell_length_b 6.9660
_cell_length_c 20.2396
_cell_angle_alpha 90.00
_cell_angle_beta 90.00
_cell_angle_gamma 120.00
_space_group_name_H-M_alt 'R -3'
_space_group_IT_number 148
_space_group_name_Hall '-R 3'
loop_
_atom_site_label
_atom_site_fract_x
_atom_site_fract_y
_atom_site_fract_z
K1 0.0000 0.0000 0.1470
Nb1 0.0000 0.0000 0.3356
Cl1 0.0063 0.6306 0.9303
```

=====

How far above the most stable structure does each one sit? In meV/atom: entry one 442; entry two 237; entry three 52; entry four 0.

=====

Entry one
KNbCl3: relaxed, PBE-GGA.

Summary:
- Total magnetization: 3.0 μB per formula unit

```
data_KNbCl3
_cell_length_a 7.2835
_cell_length_b 7.2835
_cell_length_c 16.8685
_cell_angle_alpha 90.00
_cell_angle_beta 90.00
_cell_angle_gamma 120.00
_space_group_name_H-M_alt 'R -3 c'
_space_group_IT_number 167
_space_group_name_Hall '-R 3 2"c'
loop_
_atom_site_label
_atom_site_fract_x
_atom_site_fract_y
_atom_site_fract_z
K1 0.0000 0.0000 0.2500
Nb1 0.0000 0.0000 0.0000
Cl1 0.0000 0.4194 0.2500
```

=====

Entry two
KNbCl3: relaxed, PBE-GGA.

Summary:
- Total magnetization: 3.0 μB per formula unit

```
data_KNbCl3
_cell_length_a 6.8669
_cell_length_b 13.0981
_cell_length_c 6.2082
_cell_angle_alpha 90.00
_cell_angle_beta 90.00
_cell_angle_gamma 90.00
_space_group_name_H-M_alt 'P n m a'
_space_group_IT_number 62
_space_group_name_Hall '-P 2ac 2n'
loop_
_atom_site_label
_atom_site_fract_x
_atom_site_fract_y
_atom_site_fract_z
K1 0.0000 0.0000 0.0000
Nb1 0.0915 0.2500 0.4691
Cl1 0.0822 0.7500 0.1648
Cl2 0.1782 0.6308 0.6684
```

=====

How far above the most stable structure does each one sit? In meV/atom: entry one 0; entry two 172.